HoCrGeO5: relaxed, GGA+U.

* E: -7.5958 eV per atom

Cell: 7.401 8.484 5.794 Å, 90.00 90.00 90.00°
Atoms (fractional coordinates):
1 Ho 0.144 0.174 0.000
2 Ho 0.356 0.674 0.000
3 Ho 0.644 0.326 0.000
4 Ho 0.856 0.826 0.000
5 Cr 0.000 0.500 0.250
6 Cr 0.000 0.500 0.750
7 Cr 0.500 0.000 0.250
8 Cr 0.500 0.000 0.750
9 Ge 0.115 0.855 0.500
10 Ge 0.385 0.355 0.500
11 Ge 0.615 0.645 0.500
12 Ge 0.885 0.145 0.500
13 O 0.000 0.000 0.287
14 O 0.000 0.000 0.713
15 O 0.109 0.718 0.249
16 O 0.109 0.718 0.751
17 O 0.159 0.422 0.500
18 O 0.171 0.443 0.000
19 O 0.329 0.943 0.000
20 O 0.341 0.922 0.500
21 O 0.391 0.218 0.249
22 O 0.391 0.218 0.751
23 O 0.500 0.500 0.287
24 O 0.500 0.500 0.713
25 O 0.609 0.782 0.249
26 O 0.609 0.782 0.751
27 O 0.659 0.078 0.500
28 O 0.671 0.057 0.000
29 O 0.829 0.557 0.000
30 O 0.841 0.578 0.500
31 O 0.891 0.282 0.249
32 O 0.891 0.282 0.751